Dy2TcMo3: optimized geometry, PBE.

The structure in extended XYZ format:
```
6
Lattice="-1.125 -2.738 4.618 4.892 -0.568 -2.415 0.720 5.448 0.142" Properties=species:S:1:pos:R:3 pbc="T T T"
Dy 1.078 -1.593 2.569
Dy 3.410 3.736 -0.225
Mo 0.360 2.724 0.071
Mo -0.202 1.355 2.380
Tc 0.000 0.000 0.000
Mo 2.244 1.071 1.172
```

## Properties
total moment: 0.00 Bohr magnetons per cell
calculated volume: 116.9 Å³/f.u.
energy relative to the elements: 0.005 eV per atom
space group: C2/m (12)